# 1
Crystalline InSe2Br at its relaxed geometry, computed with PBE.

```
4
Lattice="3.803 0.000 0.000 0.000 3.803 0.000 0.000 0.000 7.146" Properties=species:S:1:pos:R:3 pbc="T T T"
In 0.000 0.000 0.000
Se 1.902 1.902 1.286
Se 1.902 1.902 5.860
Br 0.000 0.000 3.573
```

Computed properties:
* mass density: 5.7 g/cm³
* energy relative to the lowest polymorph listed for this composition: 0.453 eV/atom
* space group: P4/mmm
* formation energy from raw total energies: 0.03 eV per atom
* crystal system: tetragonal
* size of the total moment: 0.0000 μB/atom

***

# 2
Crystalline InSeBr at its relaxed geometry, computed with PBE.

```
6
Lattice="4.066 0.000 0.000 -0.005 6.764 0.000 -0.749 -0.197 7.232" Properties=species:S:1:pos:R:3 pbc="T T T"
In 0.000 0.000 0.000
In 0.801 3.186 6.697
Se 2.070 5.421 1.115
Se 2.793 1.842 5.583
Br 0.008 5.196 4.902
Br 0.792 2.008 1.796
```

Computed properties:
* mass density: 4.6 g/cm³
* space group: P1
* formation energy from raw total energies: -0.63 eV per atom
* crystal system: triclinic
* size of the total moment: 0.0000 μB/atom